Below is crystalline Sc5NCl8 at its relaxed geometry, with properties calculated at the PBE level.

Results
Calculated total energy   -81.9 eV per formula unit
N(E_F)   6.73 states/eV/f.u.
Raw formation energy   -1.942 eV/atom
Crystal system   monoclinic

Lattice parameters (Å, degrees): 9.355 9.355 12.160 50.66 50.66 21.72
Positions (direct):
Cl (0.690, 0.690, 0.450)
Cl (0.371, 0.371, 0.114)
Cl (0.016, 0.016, 0.774)
Cl (0.675, 0.675, 0.170)
Cl (0.984, 0.984, 0.226)
Cl (0.629, 0.629, 0.886)
Cl (0.325, 0.325, 0.830)
Cl (0.310, 0.310, 0.550)
Sc (0.154, 0.154, 0.340)
Sc (0.000, 0.000, 0.000)
Sc (0.846, 0.846, 0.660)
Sc (0.506, 0.506, 0.615)
Sc (0.494, 0.494, 0.385)
N (0.000, 0.000, 0.500)